# 1
The following is a PBE calculation of crystalline Fe2Ni at its relaxed geometry, from Alexandria via LeMat-Bulk.

Values from the calculation:
As for the symmetry: Pnma (62). The formation energy comes out at 0.007 eV per atom. The total energy comes out at -7.5623 eV per atom. The value obtained for the total magnetization is 5.86 μB per formula unit.

a = 5.0843 Å, b = 3.5674 Å, c = 7.6337 Å
α = 90.00°, β = 90.00°, γ = 90.00°
Site moments in Bohr magnetons follow the coordinates.
Fractional positions:
1 Fe 0.8771 0.7500 0.4212  2.62
2 Fe 0.3771 0.7500 0.0788  2.62
3 Fe 0.6304 0.2500 0.2580  2.62
4 Fe 0.3696 0.7500 0.7420  2.62
5 Fe 0.6229 0.2500 0.9212  2.62
6 Fe 0.1229 0.2500 0.5788  2.62
7 Fe 0.8696 0.7500 0.7580  2.62
8 Fe 0.1304 0.2500 0.2420  2.62
9 Ni 0.1191 0.2500 0.9145  0.71
10 Ni 0.6191 0.2500 0.5855  0.71
11 Ni 0.3809 0.7500 0.4145  0.71
12 Ni 0.8809 0.7500 0.0855  0.71

=====

# 2
The following is a PBE calculation of crystalline Fe3Ni at its relaxed geometry, from Alexandria via LeMat-Bulk.

Values from the calculation:
As for the symmetry: Pm-3m (221). The formation energy comes out at 1.514 eV per atom. The total energy comes out at -6.2783 eV per atom. The value obtained for the total magnetization is 10.15 μB per formula unit.

a = 4.4111 Å, b = 4.4111 Å, c = 4.4111 Å
α = 90.00°, β = 90.00°, γ = 90.00°
Site moments in Bohr magnetons follow the coordinates.
Fractional positions:
1 Fe 0.0000 0.0000 0.5000  3.10
2 Fe 0.5000 0.0000 0.0000  3.10
3 Fe 0.0000 0.5000 0.0000  3.10
4 Ni 0.0000 0.0000 0.0000  0.85

=====

# 3
The following is a PBE calculation of crystalline Fe3Ni at its relaxed geometry, from Alexandria via LeMat-Bulk.

Values from the calculation:
As for the symmetry: Cmmm (65). The formation energy comes out at 0.057 eV per atom. The total energy comes out at -7.7350 eV per atom. The value obtained for the total magnetization is 8.16 μB per formula unit.

a = 4.4609 Å, b = 4.4609 Å, c = 2.4908 Å
α = 90.00°, β = 90.00°, γ = 110.94°
Site moments in Bohr magnetons follow the coordinates.
Fractional positions:
1 Fe 0.0000 0.5000 0.5000  2.54
2 Fe 0.0000 0.0000 0.0000  2.46
3 Fe 0.5000 0.0000 0.5000  2.54
4 Ni 0.5000 0.5000 0.0000  0.72

=====

# 4
The following is a PBE calculation of crystalline Fe2Ni at its relaxed geometry, from Alexandria via LeMat-Bulk.

Values from the calculation:
As for the symmetry: Cmcm (63). The formation energy comes out at 0.004 eV per atom. The total energy comes out at -7.5649 eV per atom. The value obtained for the total magnetization is 5.72 μB per formula unit.

a = 3.5816 Å, b = 5.8094 Å, c = 3.4825 Å
α = 90.00°, β = 90.00°, γ = 72.05°
Site moments in Bohr magnetons follow the coordinates.
Fractional positions:
1 Fe 0.5797 0.8406 0.2500  2.58
2 Fe 0.2519 0.4963 0.2500  2.56
3 Fe 0.4203 0.1594 0.7500  2.58
4 Fe 0.7481 0.5037 0.7500  2.56
5 Ni 0.0814 0.8372 0.7500  0.69
6 Ni 0.9186 0.1628 0.2500  0.69

=====

# 5
The following is a PBE calculation of crystalline Fe3Ni13 at its relaxed geometry, from Alexandria via LeMat-Bulk.

Values from the calculation:
As for the symmetry: Amm2 (38). The excess energy over the best structure of this formula in the dataset is 38 meV/atom. The formation energy comes out at -0.022 eV per atom. The total energy comes out at -6.3059 eV per atom. The value obtained for the total magnetization is 16.20 μB per formula unit.

a = 5.9486 Å, b = 5.9486 Å, c = 5.0083 Å
α = 90.00°, β = 90.00°, γ = 93.38°
Site moments in Bohr magnetons follow the coordinates.
Fractional positions:
1 Ni 0.7096 0.7934 0.0000  0.70
2 Ni 0.4589 0.0405 0.2508  0.66
3 Ni 0.9595 0.5411 0.2508  0.66
4 Ni 0.2062 0.2895 0.5000  0.68
5 Ni 0.2917 0.7083 0.0000  0.65
6 Ni 0.9595 0.5411 0.7492  0.66
7 Ni 0.2909 0.7091 0.5000  0.60
8 Ni 0.4589 0.0405 0.7492  0.66
9 Ni 0.7105 0.7938 0.5000  0.68
10 Ni 0.5417 0.4583 0.7485  0.63
11 Ni 0.5417 0.4583 0.2515  0.63
12 Ni 0.7915 0.2085 0.5000  0.67
13 Ni 0.2066 0.2904 0.0000  0.70
14 Fe 0.7844 0.2156 0.0000  2.77
15 Fe 0.0442 0.9558 0.2501  2.70
16 Fe 0.0442 0.9558 0.7499  2.70

=====

# 6
The following is a PBE calculation of crystalline Fe2Ni at its relaxed geometry, from Alexandria via LeMat-Bulk.

Values from the calculation:
As for the symmetry: Fm-3m (225). The formation energy comes out at 0.476 eV per atom. The total energy comes out at -7.0934 eV per atom. The value obtained for the total magnetization is 6.34 μB per formula unit.

a = 3.8754 Å, b = 3.8754 Å, c = 3.8754 Å
α = 60.00°, β = 60.00°, γ = 60.00°
Site moments in Bohr magnetons follow the coordinates.
Fractional positions:
1 Fe 0.7500 0.7500 0.7500  2.77
2 Fe 0.2500 0.2500 0.2500  2.77
3 Ni 0.0000 0.0000 0.0000  0.84

=====

# 7
The following is a PBE calculation of crystalline FeNi3 at its relaxed geometry, from Alexandria via LeMat-Bulk.

Values from the calculation:
As for the symmetry: P4/mmm (123). The formation energy comes out at -0.034 eV per atom. The total energy comes out at -6.4857 eV per atom. The value obtained for the total magnetization is 4.38 μB per formula unit.

a = 2.4948 Å, b = 2.4948 Å, c = 7.1202 Å
α = 90.00°, β = 90.00°, γ = 89.95°
Site moments in Bohr magnetons follow the coordinates.
Fractional positions:
1 Ni 0.0000 0.0000 0.5000  0.55
2 Ni 0.5000 0.5000 0.2509  0.65
3 Ni 0.5000 0.5000 0.7491  0.65
4 Fe 0.0000 0.0000 0.0000  2.67

=====

# 8
The following is a PBE calculation of crystalline Fe3Ni at its relaxed geometry, from Alexandria via LeMat-Bulk.

Values from the calculation:
As for the symmetry: P4/mmm (123). The formation energy comes out at 0.026 eV per atom. The total energy comes out at -7.7660 eV per atom. The value obtained for the total magnetization is 8.51 μB per formula unit.

a = 2.8899 Å, b = 2.8899 Å, c = 5.5776 Å
α = 90.00°, β = 90.00°, γ = 90.00°
Site moments in Bohr magnetons follow the coordinates.
Fractional positions:
1 Fe 0.0000 0.0000 0.4985  2.71
2 Fe 0.0000 0.0000 0.0015  2.71
3 Fe 0.5000 0.5000 0.2500  2.40
4 Ni 0.5000 0.5000 0.7500  0.81

=====

# 9
The following is a PBE calculation of crystalline Fe3Ni2 at its relaxed geometry, from Alexandria via LeMat-Bulk.

Values from the calculation:
As for the symmetry: R-3m (166). The formation energy comes out at 0.013 eV per atom. The total energy comes out at -7.3769 eV per atom. The value obtained for the total magnetization is 9.09 μB per formula unit.

a = 10.4760 Å, b = 10.4760 Å, c = 10.4760 Å
α = 13.86°, β = 13.86°, γ = 13.86°
Site moments in Bohr magnetons follow the coordinates.
Fractional positions:
1 Fe 0.7988 0.7988 0.7988  2.60
2 Fe 0.2012 0.2012 0.2012  2.60
3 Fe 0.0000 0.0000 0.0000  2.60
4 Ni 0.3995 0.3995 0.3995  0.72
5 Ni 0.6005 0.6005 0.6005  0.72

=====

# 10
The following is a PBE calculation of crystalline Fe13Ni2 at its relaxed geometry, from Alexandria via LeMat-Bulk.

Values from the calculation:
As for the symmetry: P-1 (2). The formation energy comes out at 0.134 eV per atom. The total energy comes out at -7.9715 eV per atom. The value obtained for the total magnetization is 34.83 μB per formula unit.

a = 7.0247 Å, b = 6.3883 Å, c = 6.6860 Å
α = 138.41°, β = 96.01°, γ = 101.04°
Site moments in Bohr magnetons follow the coordinates.
Fractional positions:
1 Fe 0.9963 0.3617 0.5859  2.83
2 Fe 0.8331 0.1312 0.7577  2.64
3 Fe 0.7902 0.6679 0.0352  2.56
4 Fe 0.6789 0.0442 0.0321  2.54
5 Fe 0.4256 0.9739 0.6322  2.50
6 Fe 0.0000 0.0000 0.0000  2.46
7 Fe 0.2098 0.3321 0.9648  2.56
8 Fe 0.4126 0.4806 0.7939  2.53
9 Fe 0.3211 0.9558 0.9679  2.54
10 Fe 0.5874 0.5194 0.2061  2.53
11 Fe 0.0037 0.6383 0.4141  2.83
12 Fe 0.1669 0.8688 0.2423  2.64
13 Fe 0.5744 0.0261 0.3678  2.50
14 Ni 0.3150 0.4680 0.4425  0.79
15 Ni 0.6850 0.5320 0.5575  0.79

=====

# 11
The following is a PBE calculation of crystalline Fe7Ni at its relaxed geometry, from Alexandria via LeMat-Bulk.

Values from the calculation:
As for the symmetry: I4/mmm (139). The excess energy over the best structure of this formula in the dataset is 0 meV/atom. The formation energy comes out at 0.013 eV per atom. The total energy comes out at -8.1140 eV per atom. The value obtained for the total magnetization is 18.61 μB per formula unit.

a = 4.0324 Å, b = 4.0324 Å, c = 6.4138 Å
α = 108.32°, β = 108.32°, γ = 90.00°
Site moments in Bohr magnetons follow the coordinates.
Fractional positions:
1 Fe 0.1253 0.6253 0.2506  2.63
2 Fe 0.8747 0.3747 0.7494  2.63
3 Fe 0.5000 0.5000 0.0000  2.43
4 Fe 0.2507 0.2507 0.5014  2.48
5 Fe 0.7493 0.7493 0.4986  2.48
6 Fe 0.3747 0.8747 0.7494  2.63
7 Fe 0.6253 0.1253 0.2506  2.63
8 Ni 0.0000 0.0000 0.0000  0.96

=====

# 12
The following is a PBE calculation of crystalline Fe3Ni at its relaxed geometry, from Alexandria via LeMat-Bulk.

Values from the calculation:
As for the symmetry: R-3m (166). The formation energy comes out at 0.007 eV per atom. The total energy comes out at -7.7851 eV per atom. The value obtained for the total magnetization is 8.58 μB per formula unit.

a = 2.4699 Å, b = 4.7347 Å, c = 4.7347 Å
α = 117.04°, β = 79.99°, γ = 79.99°
Site moments in Bohr magnetons follow the coordinates.
Fractional positions:
1 Fe 0.0000 0.5000 0.5000  2.62
2 Fe 0.5000 0.0000 0.5000  2.62
3 Fe 0.0000 0.0000 0.0000  2.62
4 Ni 0.5000 0.5000 0.0000  0.85

=====

Taking the records one at a time from the top gives V values of 138.5, 85.8, 46.3, 68.9, 176.9, 41.2, 44.3, 46.6, 57.4, 180.8, 93.4, 46.5 Å³/cell.